{
  "formula": "Ni2BCl",
  "functional": "PBE",
  "state": "optimized geometry",
  "formation_energy_uncorrected_mev_per_atom": 238.7,
  "final_energy_ev_per_cell": -38.264,
  "relative_energy_kj_per_mol_atoms": 0.00,
  "rho_g_cm3": 4.832,
  "sg": "No. 122",
  "lattice_angstrom": [[-0.465, 0.945, 4.562], [1.401, -4.344, 1.043], [5.337, -0.090, 2.966]],
  "species": ["Ni", "Ni", "Ni", "Ni", "B", "B", "Cl", "Cl"],
  "fractional_positions": [[0.549, 0.125, 0.250], [0.201, 0.625, 0.250], [0.375, 0.451, 0.750], [0.875, 0.799, 0.750], [0.500, 0.500, 0.000], [0.250, 0.750, 0.500], [0.000, 0.000, 0.000], [0.750, 0.250, 0.500]]
}